Record 1
Material: SrGeRh
Method: DFT, GGA-PBE
State: relaxed

Cell lengths 4.708, 4.214, 4.214 Å; angles 120.00, 90.00, 90.00 degrees
Fractional positions:
Rh: 0.167 0.667 0.333
Sr: 0.667 0.333 0.667
Ge: 0.167 0.000 0.000

Computed properties:
For the total energy, the calculation gives -15.5 eV/cell. The calculation puts the formation energy at -1.866 eV/f.u. The volume is 72 Å³/cell.

---

Record 2
Material: SrGeRh2
Method: DFT, GGA-PBE
State: relaxed

Cell lengths 4.916, 4.916, 8.884 Å; angles 73.94, 73.94, 90.00 degrees
Fractional positions:
Sr: 0.000 0.000 0.000
Rh: 0.301 0.625 0.250
Ge: 0.250 0.750 0.500
Rh: 0.875 0.699 0.750
Rh: 0.449 0.125 0.250
Sr: 0.750 0.250 0.500
Ge: 0.500 0.500 0.000
Rh: 0.375 0.551 0.750

Computed properties:
For the total energy, the calculation gives -43.7 eV/cell. The calculation puts the formation energy at -0.845 eV/f.u. The volume is 198 Å³/cell.

---

Record 3
Material: SrGe3Rh3
Method: DFT, GGA-PBE
State: relaxed

Cell lengths 6.770, 6.770, 6.770 Å; angles 90.00, 90.00, 90.00 degrees
Fractional positions:
Ge: 0.500 0.000 0.750
Sr: 0.500 0.500 0.500
Ge: 0.000 0.750 0.500
Ge: 0.750 0.500 0.000
Rh: 0.500 0.250 0.000
Rh: 0.750 0.000 0.500
Sr: 0.000 0.000 0.000
Rh: 0.500 0.750 0.000
Ge: 0.000 0.250 0.500
Ge: 0.250 0.500 0.000
Ge: 0.500 0.000 0.250
Rh: 0.250 0.000 0.500
Rh: 0.000 0.500 0.750
Rh: 0.000 0.500 0.250

Computed properties:
For the total energy, the calculation gives -80.9 eV/cell. The calculation puts the formation energy at -2.873 eV/f.u. The volume is 310 Å³/cell.